A relaxed structure of Sc4InAu5, computed with GGA-PBE.

Geometry as extended XYZ:
```
10
Lattice="-2.689 0.813 1.941 1.707 -1.000 2.783 6.169 15.836 1.909" Properties=species:S:1:pos:R:3 pbc="T T T"
Sc 1.237 3.174 0.383
Sc 2.470 6.340 0.764
Sc 3.699 9.496 1.145
Sc 4.932 12.662 1.526
In 0.000 0.000 0.000
Au 0.196 1.672 2.575
Au 1.375 4.696 2.940
Au 2.593 7.825 3.317
Au 3.812 10.953 3.694
Au 4.990 13.977 4.058
```

Volume (Å³/cell): 199.39
DFT total energy (eV/atom): -5.16
Energy relative to the elements (eV/f.u.): -7.2

A relaxed structure of Sc2InAu6, computed with GGA-PBE.

Geometry as extended XYZ:
```
9
Lattice="5.025 0.041 0.780 2.201 4.245 1.660 0.000 -0.128 8.041" Properties=species:S:1:pos:R:3 pbc="T T T"
Sc 4.352 3.463 8.436
Sc 2.873 0.694 2.046
In 0.000 -0.064 4.021
Au 2.714 3.518 2.791
Au 5.263 2.178 2.762
Au 4.511 0.640 7.691
Au 1.962 1.980 7.720
Au 2.380 1.358 4.828
Au 4.845 2.799 5.654
```

Volume (Å³/cell): 171.65
DFT total energy (eV/atom): -4.46
Energy relative to the elements (eV/f.u.): -5.1

A relaxed structure of ScInAu6, computed with GGA-PBE.

Geometry as extended XYZ:
```
8
Lattice="4.093 0.000 1.117 1.874 4.647 1.190 0.052 -0.025 7.865" Properties=species:S:1:pos:R:3 pbc="T T T"
Sc 0.963 2.311 4.528
In 0.000 0.000 0.000
Au 2.708 4.008 6.191
Au 2.561 1.128 6.728
Au 1.718 1.783 1.763
Au 3.458 3.494 3.444
Au 3.311 0.614 3.982
Au 4.301 2.839 8.409
```

Volume (Å³/cell): 149.39
DFT total energy (eV/atom): -3.97
Energy relative to the elements (eV/f.u.): -3.0

A relaxed structure of Sc2InAu, computed with GGA-PBE.

Geometry as extended XYZ:
```
4
Lattice="-4.144 3.490 7.246 -6.774 1.805 5.719 -4.583 0.086 7.801" Properties=species:S:1:pos:R:3 pbc="T T T"
Au -3.875 1.345 5.192
In -11.626 4.035 15.575
Sc -15.367 5.334 20.586
Sc -7.885 2.737 10.563
```

Volume (Å³/cell): 92.36
DFT total energy (eV/atom): -5.09
Energy relative to the elements (eV/f.u.): -1.7

A relaxed structure of ScInAu3, computed with GGA-PBE.

Geometry as extended XYZ:
```
5
Lattice="5.215 0.000 0.000 0.000 5.215 0.000 0.000 0.000 5.215" Properties=species:S:1:pos:R:3 pbc="T T T"
Sc 0.000 0.000 0.000
Au 0.000 2.607 0.000
Au 0.000 0.000 2.607
Au 2.607 0.000 0.000
In 2.607 2.607 2.607
```

Volume (Å³/cell): 141.80
Polymorph energy (0 for the lowest one) (meV/atom): 671
DFT total energy (eV/atom): -3.57
Energy relative to the elements (eV/f.u.): 1.0

A relaxed structure of ScInAu4, computed with GGA-PBE.

Geometry as extended XYZ:
```
6
Lattice="-2.612 3.298 -2.833 -1.347 -3.410 -0.320 -1.905 2.145 6.633" Properties=species:S:1:pos:R:3 pbc="T T T"
Sc -3.880 2.099 5.042
In -2.295 -2.328 2.982
Au -2.112 1.782 0.674
Au -3.743 0.269 2.776
Au -2.550 -0.446 5.316
Au -3.306 2.498 -1.866
```

Volume (Å³/cell): 115.35
Polymorph energy (0 for the lowest one) (meV/atom): 0
DFT total energy (eV/atom): -4.18
Energy relative to the elements (eV/f.u.): -2.9

A relaxed structure of Sc3InAu, computed with GGA-PBE.

Geometry as extended XYZ:
```
5
Lattice="5.285 0.000 0.000 0.000 5.285 0.000 0.000 0.000 5.285" Properties=species:S:1:pos:R:3 pbc="T T T"
Sc 0.000 2.642 0.000
Sc 0.000 0.000 2.642
Sc 2.642 0.000 0.000
Au 2.642 2.642 2.642
In 0.000 0.000 0.000
```

Volume (Å³/cell): 147.60
Polymorph energy (0 for the lowest one) (meV/atom): 568
DFT total energy (eV/atom): -4.50
Energy relative to the elements (eV/f.u.): 2.5

A relaxed structure of Sc3InAu2, computed with GGA-PBE.

Geometry as extended XYZ:
```
6
Lattice="-1.023 2.791 1.692 -3.171 -0.429 -1.210 -2.406 -5.992 8.427" Properties=species:S:1:pos:R:3 pbc="T T T"
Sc 0.000 0.000 0.000
Sc -1.645 -4.096 5.760
Sc -0.761 -1.896 2.667
In -3.300 -1.815 4.455
Au -4.108 -3.827 7.284
Au -2.492 0.197 1.625
```

Volume (Å³/cell): 124.23
DFT total energy (eV/atom): -5.40
Energy relative to the elements (eV/f.u.): -4.1

A relaxed structure of Sc5InAu3, computed with GGA-PBE.

Geometry as extended XYZ:
```
18
Lattice="6.092 0.000 0.000 0.000 8.473 0.000 0.000 -4.237 7.338" Properties=species:S:1:pos:R:3 pbc="T T T"
Sc 0.000 4.237 2.446
Sc 3.046 0.000 4.892
Sc 0.000 0.000 4.892
Sc 3.046 4.237 2.446
Sc 4.569 2.914 5.047
Sc 4.569 7.151 2.291
Sc 4.569 2.645 0.000
Sc 1.523 1.323 2.291
Sc 1.523 -2.914 5.047
Sc 1.523 5.828 0.000
In 0.000 0.000 0.000
In 3.046 0.000 0.000
Au 4.569 1.560 2.702
Au 4.569 5.797 4.635
Au 4.569 5.352 0.000
Au 1.523 2.677 4.635
Au 1.523 -1.560 2.702
Au 1.523 3.121 0.000
```

Volume (Å³/cell): 378.74
DFT total energy (eV/atom): -5.51
Energy relative to the elements (eV/f.u.): -5.4

A relaxed structure of Sc3InAu4, computed with GGA-PBE.

Geometry as extended XYZ:
```
16
Lattice="4.722 0.000 0.000 0.000 7.089 0.000 0.000 0.000 9.446" Properties=species:S:1:pos:R:3 pbc="T T T"
Sc 0.000 0.000 0.000
Sc 0.000 0.000 4.723
Sc 2.360 0.000 7.084
Sc 2.361 0.000 2.361
Sc 2.360 3.544 7.084
Sc 2.361 3.544 2.361
Au 2.361 5.390 0.000
Au 2.361 5.390 4.723
Au 2.361 1.699 0.000
Au 2.361 1.699 4.723
Au 4.721 5.389 7.084
Au 0.000 5.389 2.361
Au 0.000 1.699 2.361
Au 4.721 1.699 7.084
In 0.000 3.544 0.000
In 0.000 3.544 4.723
```

Volume (Å³/cell): 316.16
DFT total energy (eV/atom): -5.07
Energy relative to the elements (eV/f.u.): -5.7

A relaxed structure of Sc2InAu, computed with GGA-PBE.

Geometry as extended XYZ:
```
4
Lattice="-4.130 0.173 -3.827 -4.453 -3.309 0.975 2.986 3.769 2.934" Properties=species:S:1:pos:R:3 pbc="T T T"
Au -4.292 -1.568 -1.426
In -2.717 1.187 -1.160
Sc 0.000 0.000 0.000
Sc -2.879 -0.554 1.241
```

Volume (Å³/cell): 84.44
DFT total energy (eV/atom): -5.13
Energy relative to the elements (eV/f.u.): -1.9

A relaxed structure of Sc2InAu, computed with GGA-PBE.

Geometry as extended XYZ:
```
4
Lattice="4.887 0.098 0.004 -0.086 4.888 0.004 -0.003 -0.003 3.538" Properties=species:S:1:pos:R:3 pbc="T T T"
Sc 0.000 0.000 0.000
Sc 2.401 2.493 0.004
Au 2.442 0.047 1.771
In -0.044 2.442 1.771
```

Volume (Å³/cell): 84.55
DFT total energy (eV/atom): -5.26
Energy relative to the elements (eV/f.u.): -2.3